This record from the Alexandria database describes crystalline NbP3Os at its relaxed geometry. The functional is GGA-PBE.

Computed properties:
SG = Pm-3m, No. 221
formation energy = 1.3926 eV/atom
calculated density = 5.865 g cm⁻³
spin magnetization = 2.4 μB/cell
energy above the lowest structure with this stoichiometry = 0.406 eV/atom
DOS at the Fermi energy = 1.009 states/eV/atom

Lattice parameters (Å, degrees): 4.740 4.740 4.740 90.00 90.00 90.00
Fractional coordinates of all 5 atoms:
Nb (0.000, 0.000, 0.000)
P (0.000, 0.000, 0.500)
P (0.000, 0.500, 0.000)
P (0.500, 0.000, 0.000)
Os (0.500, 0.500, 0.500)